The following is a DFT calculation (PBE-GGA) of an optimized crystal structure of Nd3Si.

Cell: 3.4492 3.9198 9.5707 Å, 90.00 90.00 90.00°
With the nearest neighbours (Å) after each atom.
Fractional coordinates of all 4 atoms:
Nd  0.0000  0.0000  0.0000  8 Nd 3.45-3.77
Nd  0.0000  0.5000  0.3291  4 Si 3.00
Nd  0.5000  0.5000  0.7162  2 Si 2.97
Si  0.5000  0.0000  0.4830  6 Nd 2.97-3.00

E_form (uncorrected) in eV per atom: -0.001
Raw total energy in eV for the cell shown: -19.73
E above lowest polymorph in meV per atom: 366.9
Volume in Å³/f.u.: 129.4

***

The following is a DFT calculation (PBE-GGA) of an optimized crystal structure of Nd2Si3.

Cell: 12.6762 12.6762 4.0257 Å, 90.00 90.00 160.22°
With the nearest neighbours (Å) after each atom.
Fractional coordinates of all 10 atoms:
Nd  0.0688  0.9312  0.7500  12 Si 3.17-3.43
Nd  0.2018  0.7982  0.2500  7 Si 3.01-3.08
Nd  0.7982  0.2018  0.7500  7 Si 3.01-3.08
Nd  0.9312  0.0688  0.2500  12 Si 3.17-3.43
Si  0.3253  0.6747  0.2500  2 Si 2.46
Si  0.3816  0.6184  0.7500  3 Si 2.35-2.46
Si  0.4756  0.5244  0.7500  3 Si 2.35
Si  0.5244  0.4756  0.2500  3 Si 2.35
Si  0.6184  0.3816  0.2500  3 Si 2.35-2.46
Si  0.6747  0.3253  0.7500  2 Si 2.46

E_form (uncorrected) in eV per atom: -0.682
Raw total energy in eV for the cell shown: -58.42
E above lowest polymorph in meV per atom: 0.0
Volume in Å³/f.u.: 109.5

***

The following is a DFT calculation (PBE-GGA) of an optimized crystal structure of Nd3Si.

Cell: 7.0061 7.0061 5.1821 Å, 90.00 90.00 120.00°
With the nearest neighbours (Å) after each atom.
Fractional coordinates of all 8 atoms:
Nd  0.1810  0.3621  0.2500  4 Si 3.18-3.51, 6 Nd 3.20-3.40
Nd  0.1810  0.8190  0.2500  4 Si 3.18-3.51, 6 Nd 3.20-3.40
Nd  0.3621  0.1810  0.7500  4 Si 3.18-3.51, 6 Nd 3.20-3.40
Nd  0.6379  0.8190  0.2500  4 Si 3.18-3.51, 6 Nd 3.20-3.40
Nd  0.8190  0.1810  0.7500  4 Si 3.18-3.51, 6 Nd 3.20-3.40
Nd  0.8190  0.6379  0.7500  4 Si 3.18-3.51, 6 Nd 3.20-3.40
Si  0.3333  0.6667  0.7500  12 Nd 3.18-3.51
Si  0.6667  0.3333  0.2500  12 Nd 3.18-3.51

E_form (uncorrected) in eV per atom: -0.244
Raw total energy in eV for the cell shown: -41.40
E above lowest polymorph in meV per atom: 123.9
Volume in Å³/f.u.: 110.1

***

The following is a DFT calculation (PBE-GGA) of an optimized crystal structure of Nd4Si5.

Cell: 3.9589 12.6719 12.6719 Å, 19.58 90.00 90.00°
With the nearest neighbours (Å) after each atom.
Fractional coordinates of all 9 atoms:
Nd  0.0000  0.0000  0.0000  7 Si 3.02-3.20
Nd  0.0000  0.2716  0.2716  8 Si 3.09-3.30
Nd  0.5000  0.1313  0.1313  10 Si 3.11-3.31
Nd  0.5000  0.4030  0.4030  7 Si 3.03-3.19
Si  0.0000  0.5885  0.5885  3 Si 2.35-2.45
Si  0.0000  0.6827  0.6827  1 Si 2.35
Si  0.0000  0.8718  0.8718  2 Si 2.47
Si  0.5000  0.5307  0.5307  2 Si 2.45
Si  0.5000  0.8128  0.8128  2 Si 2.47

E_form (uncorrected) in eV per atom: -0.675
Raw total energy in eV for the cell shown: -52.26
Volume in Å³/f.u.: 213.0

***

The following is a DFT calculation (PBE-GGA) of an optimized crystal structure of Nd2Si3.

Cell: 4.0428 4.0428 8.3332 Å, 90.00 90.00 120.00°
With the nearest neighbours (Å) after each atom.
Fractional coordinates of all 5 atoms:
Nd  0.0000  0.0000  0.2481  9 Si 3.12-3.14
Nd  0.0000  0.0000  0.7519  9 Si 3.12-3.14
Si  0.3333  0.6667  0.5000  3 Si 2.33
Si  0.6667  0.3333  0.0000  6 Nd 3.12
Si  0.6667  0.3333  0.5000  3 Si 2.33

E_form (uncorrected) in eV per atom: -0.454
Raw total energy in eV for the cell shown: -28.07
E above lowest polymorph in meV per atom: 227.8
Volume in Å³/f.u.: 118.0

***

The following is a DFT calculation (PBE-GGA) of an optimized crystal structure of NdSi6.

Cell: 5.7643 5.7643 5.7643 Å, 109.47 109.47 109.47°
With the nearest neighbours (Å) after each atom.
Fractional coordinates of all 7 atoms:
Nd  0.0000  0.0000  0.0000  24 Si 3.72
Si  0.2500  0.5000  0.7500  4 Si 2.35
Si  0.2500  0.7500  0.5000  4 Si 2.35
Si  0.5000  0.2500  0.7500  4 Si 2.35
Si  0.5000  0.7500  0.2500  4 Si 2.35
Si  0.7500  0.2500  0.5000  4 Si 2.35
Si  0.7500  0.5000  0.2500  4 Si 2.35

E_form (uncorrected) in eV per atom: 0.111
Raw total energy in eV for the cell shown: -36.53
Volume in Å³/f.u.: 147.4

***

The following is a DFT calculation (PBE-GGA) of an optimized crystal structure of Nd2Si3.

Cell: 7.6564 7.6564 7.6564 Å, 150.10 148.17 44.24°
With the nearest neighbours (Å) after each atom.
Fractional coordinates of all 5 atoms:
Nd  0.0000  0.0000  0.0000  8 Si 3.05-3.21
Nd  0.7536  0.2536  0.5000  10 Si 3.07-3.21
Si  0.1634  0.6634  0.5000  1 Si 2.35
Si  0.3288  0.8288  0.5000  3 Si 2.35-2.40
Si  0.4249  0.4249  0.0000  2 Si 2.40

E_form (uncorrected) in eV per atom: -0.620
Raw total energy in eV for the cell shown: -28.90
E above lowest polymorph in meV per atom: 61.7
Volume in Å³/f.u.: 117.7

***

The following is a DFT calculation (PBE-GGA) of an optimized crystal structure of Nd2Si.

Cell: 5.6462 5.6462 5.6462 Å, 138.69 138.69 59.84°
With the nearest neighbours (Å) after each atom.
Fractional coordinates of all 3 atoms:
Nd  0.1490  0.1490  0.0000  1 Nd 2.92, 4 Si 3.17
Nd  0.8510  0.8510  0.0000  1 Nd 2.92, 4 Si 3.17
Si  0.5000  0.5000  0.0000  10 Nd 3.17-3.43

E_form (uncorrected) in eV per atom: -0.335
Raw total energy in eV for the cell shown: -15.96
Volume in Å³/f.u.: 77.6